First-principles (PBE) data for a relaxed Rh2WCl crystal, as listed in the Alexandria database.

Crystal system = orthorhombic
Spin magnetization = 0.00 μB/f.u.
Calculated volume = 59.65 Å³ per cell
Formation energy without anion corrections = 0.4881 eV/atom

Cell: 5.267 5.267 5.267 Å, 148.67 127.56 62.37°
Sites, in units of the cell vectors:
Cl: 0.250 0.750 0.500
Rh: 0.005 0.005 0.000
Rh: 0.495 0.495 0.000
W: 0.750 0.250 0.500